Entry from Alexandria: an optimized crystal structure of NiAgPt (PBE).

Lattice parameters (Å, degrees): 2.7717 2.7717 6.7367 90.00 90.00 120.00
Each line ends with the local moment (μB).
Sites, in units of the cell vectors:
Ag  0.6667  0.3333  0.4983  -0.01
Pt  0.0000  0.0000  0.1322  0.16
Ni  0.3333  0.6667  0.8257  0.69

Summary:
relative energy among the computed polymorphs: 46.5 meV/atom
density of states at the Fermi level: 1.43 states/eV per atom
electronic total energy: -4.806 eV/atom
formation enthalpy at 0 K: 0.0847 eV/atom
space-group type: No. 156